Run w
A relaxed structure of SrCa2CdPd. Source: Alexandria via LeMat-Bulk, functional GGA-PBE.

The value obtained for the density of states at the Fermi level is 1.020 states/eV/atom.

The structure belongs to space group P4/mmm (No. 123); the cell edges are 5.538, 5.538 and 5.475 Å and the angles 90.00°, 90.00° and 90.00°. Symmetry generates all atoms from Sr at (0.000, 0.000, 0.000), Ca at (0.000, 0.500, 0.500), Cd at (0.500, 0.500, 0.000) and Pd at (0.500, 0.500, 0.500).

---

Run x
A relaxed structure of SrCa2CdPd. Source: Alexandria via LeMat-Bulk, functional GGA-PBE.

The value obtained for the density of states at the Fermi level is 0.581 states/eV/atom.

The structure belongs to space group P4/mmm (No. 123); the cell edges are 5.568, 5.568 and 5.883 Å and the angles 90.00°, 90.00° and 90.00°. Symmetry generates all atoms from Sr at (0.000, 0.000, 0.000), Ca at (0.000, 0.500, 0.500), Cd at (0.500, 0.500, 0.000) and Pd at (0.000, 0.000, 0.500).

---

Energetically preferred structure: run x | next structure: +13 meV per atom